## 1
CoAs2WBr | PBE | relaxed

a = 4.8448 Å, b = 4.8448 Å, c = 5.2986 Å
α = 90.00°, β = 90.00°, γ = 90.00°
Last column: nearest neighbours and their distance in Å.
Fractional positions:
W 0.0000 0.0000 0.0000  4 As 2.42, 2 Br 2.65
As 0.0000 0.5000 0.0000  2 W 2.42
As 0.5000 0.0000 0.0000  2 W 2.42
Co 0.5000 0.5000 0.5000  4 Br 3.43, 8 As 3.59
Br 0.0000 0.0000 0.5000  2 W 2.65

- Magnetic moment: 2.220 μB/f.u.
- Calculated density: 6.31 Mg/m³

---

## 2
CoAs2WBr | PBE | relaxed

a = 4.4911 Å, b = 4.4911 Å, c = 4.8607 Å
α = 90.00°, β = 90.00°, γ = 90.00°
Last column: nearest neighbours and their distance in Å.
Fractional positions:
As 0.0000 0.5000 0.0000  2 Co 2.25
As 0.5000 0.0000 0.0000  2 Co 2.25
Br 0.0000 0.0000 0.5000  2 Co 2.43
W 0.5000 0.5000 0.5000  4 Br 3.18, 8 As 3.31
Co 0.0000 0.0000 0.0000  4 As 2.25, 2 Br 2.43

- Magnetic moment: 2.267 μB/f.u.
- Calculated density: 8.00 Mg/m³

---

Most stable pick: 1. Distance to second place: 0.121 eV/atom.

---

## 1
YCoAs2Br | PBE | relaxed

a = 5.4911 Å, b = 5.4911 Å, c = 5.4206 Å
α = 90.00°, β = 90.00°, γ = 90.00°
Last column: nearest neighbours and their distance in Å.
Fractional positions:
Br 0.0000 0.0000 0.5000  2 Y 2.71
Co 0.5000 0.5000 0.5000  8 As 3.86, 4 Br 3.88
As 0.0000 0.5000 0.0000  2 Y 2.75
As 0.5000 0.0000 0.0000  2 Y 2.75
Y 0.0000 0.0000 0.0000  2 Br 2.71, 4 As 2.75

- Magnetic moment: 2.796 μB/f.u.
- Calculated density: 3.84 Mg/m³

---

## 2
YCoAs2Br | PBE | relaxed

a = 4.5930 Å, b = 4.5930 Å, c = 5.0759 Å
α = 90.00°, β = 90.00°, γ = 90.00°
Last column: nearest neighbours and their distance in Å.
Fractional positions:
Br 0.0000 0.0000 0.5000  2 Co 2.54
Y 0.5000 0.5000 0.5000  4 Br 3.25, 8 As 3.42
Co 0.0000 0.0000 0.0000  4 As 2.30, 2 Br 2.54
As 0.5000 0.0000 0.0000  2 Co 2.30
As 0.0000 0.5000 0.0000  2 Co 2.30

- Magnetic moment: 1.037 μB/f.u.
- Calculated density: 5.86 Mg/m³

---

Most stable pick: 2. Distance to second place: 0.860 eV/atom.

---

## 1
ZnCoAsBr2 | PBE | relaxed

a = 5.0857 Å, b = 5.0857 Å, c = 4.4541 Å
α = 90.00°, β = 90.00°, γ = 90.00°
Last column: nearest neighbours and their distance in Å.
Fractional positions:
Zn 0.5000 0.5000 0.5000  8 Br 3.38, 4 As 3.60
Br 0.0000 0.5000 0.0000  2 Co 2.54
Br 0.5000 0.0000 0.0000  2 Co 2.54
Co 0.0000 0.0000 0.0000  2 As 2.23
As 0.0000 0.0000 0.5000  2 Co 2.23

- Magnetic moment: 0.000 μB/f.u.
- Calculated density: 5.18 Mg/m³

---

## 2
ZnCoAsBr2 | PBE | relaxed

a = 5.1281 Å, b = 5.1281 Å, c = 4.9859 Å
α = 90.00°, β = 90.00°, γ = 90.00°
Last column: nearest neighbours and their distance in Å.
Fractional positions:
Zn 0.0000 0.0000 0.0000  2 As 2.49, 4 Br 2.56
Br 0.0000 0.5000 0.0000  2 Zn 2.56
Br 0.5000 0.0000 0.0000  2 Zn 2.56
As 0.0000 0.0000 0.5000  2 Zn 2.49
Co 0.5000 0.5000 0.5000  8 Br 3.58, 4 As 3.63

- Magnetic moment: 3.629 μB/f.u.
- Calculated density: 4.55 Mg/m³

---

Most stable pick: 1. Distance to second place: 0.538 eV/atom.